(1)
# Ba2LiCoH6 PBE-GGA optimized geometry
data_Ba2LiCoH6
_chemical_formula_sum 'Ba2 Li1 Co1 H6'
_cell_length_a 5.5756
_cell_length_b 5.5756
_cell_length_c 4.7218
_cell_angle_alpha 90.00
_cell_angle_beta 90.00
_cell_angle_gamma 120.00
_space_group_name_H-M_alt 'P -3 m 1'
_space_group_IT_number 164
_space_group_name_Hall '-P 3 2"'
loop_
_atom_site_label
_atom_site_type_symbol
_atom_site_fract_x
_atom_site_fract_y
_atom_site_fract_z
_atom_site_occupancy
Ba1 Ba 0.3333 0.6667 0.2388 1
Li1 Li 0.0000 0.0000 0.5000 1
Co1 Co 0.0000 0.0000 0.0000 1
H1 H 0.1448 0.2897 0.7883 1
# Electronic total energy   -3.72 eV/atom
# Volume   127 Å³ per cell


(2)
# BaMnCoH6 PBE-GGA optimized geometry
data_BaMnCoH6
_chemical_formula_sum 'Ba1 Mn1 Co1 H6'
_cell_length_a 4.6619
_cell_length_b 4.6619
_cell_length_c 4.9975
_cell_angle_alpha 90.00
_cell_angle_beta 90.00
_cell_angle_gamma 120.00
_space_group_name_H-M_alt 'P -6 m 2'
_space_group_IT_number 187
_space_group_name_Hall 'P -6 2'
loop_
_atom_site_label
_atom_site_type_symbol
_atom_site_fract_x
_atom_site_fract_y
_atom_site_fract_z
_atom_site_occupancy
Ba1 Ba 0.0000 0.0000 0.0000 1
Mn1 Mn 0.3333 0.6667 0.5000 1
Co1 Co 0.6667 0.3333 0.5000 1
H1 H 0.5125 0.0250 0.2870 1
# Electronic total energy   -4.48 eV/atom
# Volume   94 Å³ per cell


(3)
# BaNaCoH6 PBE-GGA optimized geometry
data_BaNaCoH6
_chemical_formula_sum 'Ba1 Na1 Co1 H6'
_cell_length_a 5.1587
_cell_length_b 5.1587
_cell_length_c 4.8767
_cell_angle_alpha 90.00
_cell_angle_beta 90.00
_cell_angle_gamma 120.00
_space_group_name_H-M_alt 'P 3 1 2'
_space_group_IT_number 149
loop_
_space_group_symop_operation_xyz
'x,y,z'
'-y,x-y,z'
'-x+y,-x,z'
'-y,-x,-z'
'-x+y,y,-z'
'x,x-y,-z'
loop_
_atom_site_label
_atom_site_type_symbol
_atom_site_fract_x
_atom_site_fract_y
_atom_site_fract_z
_atom_site_occupancy
Ba1 Ba 0.0000 0.0000 0.0000 1
Na1 Na 0.3333 0.6667 0.5000 1
Co1 Co 0.6667 0.3333 0.5000 1
H1 H 0.4421 0.0894 0.6957 1
# Electronic total energy   -3.65 eV/atom
# Volume   112 Å³ per cell


(4)
# BaNa2CoH6 PBE-GGA optimized geometry
data_BaNa2CoH6
_chemical_formula_sum 'Ba1 Na2 Co1 H6'
_cell_length_a 5.0940
_cell_length_b 5.0940
_cell_length_c 6.6312
_cell_angle_alpha 90.00
_cell_angle_beta 90.00
_cell_angle_gamma 120.00
_space_group_name_H-M_alt 'P -3 m 1'
_space_group_IT_number 164
_space_group_name_Hall '-P 3 2"'
loop_
_atom_site_label
_atom_site_type_symbol
_atom_site_fract_x
_atom_site_fract_y
_atom_site_fract_z
_atom_site_occupancy
Ba1 Ba 0.0000 0.0000 0.0000 1
Na1 Na 0.3333 0.6667 0.4114 1
Co1 Co 0.0000 0.0000 0.5000 1
H1 H 0.1405 0.2810 0.6411 1
# Electronic total energy   -3.43 eV/atom
# Volume   149 Å³ per cell


(5)
# BaCoNi2H8 PBE-GGA optimized geometry
data_BaCoNi2H8
_chemical_formula_sum 'Ba3 Co3 Ni6 H24'
_cell_length_a 4.4761
_cell_length_b 4.4761
_cell_length_c 18.3279
_cell_angle_alpha 90.00
_cell_angle_beta 90.00
_cell_angle_gamma 120.00
_space_group_name_H-M_alt 'R -3'
_space_group_IT_number 148
_space_group_name_Hall '-R 3'
loop_
_atom_site_label
_atom_site_type_symbol
_atom_site_fract_x
_atom_site_fract_y
_atom_site_fract_z
_atom_site_occupancy
Ba1 Ba 0.0000 0.0000 0.0000 1
Co1 Co 0.0000 0.0000 0.5000 1
Ni1 Ni 0.0000 0.0000 0.1940 1
H1 H 0.0000 0.0000 0.2818 1
H2 H 0.0107 0.6355 0.7932 1
# Electronic total energy   -4.11 eV/atom
# Volume   318 Å³ per cell


(6)
# BaCoNiH6 PBE-GGA optimized geometry
data_BaCoNiH6
_chemical_formula_sum 'Ba1 Co1 Ni1 H6'
_cell_length_a 4.6004
_cell_length_b 4.6004
_cell_length_c 4.9537
_cell_angle_alpha 90.00
_cell_angle_beta 90.00
_cell_angle_gamma 120.00
_space_group_name_H-M_alt 'P -6 m 2'
_space_group_IT_number 187
_space_group_name_Hall 'P -6 2'
loop_
_atom_site_label
_atom_site_type_symbol
_atom_site_fract_x
_atom_site_fract_y
_atom_site_fract_z
_atom_site_occupancy
Ba1 Ba 0.0000 0.0000 0.0000 1
Co1 Co 0.6667 0.3333 0.5000 1
Ni1 Ni 0.3333 0.6667 0.5000 1
H1 H 0.5035 0.0070 0.3020 1
# Electronic total energy   -4.13 eV/atom
# Volume   91 Å³ per cell


(7)
# Ba2CoHPb PBE-GGA optimized geometry
data_Ba2CoHPb
_chemical_formula_sum 'Ba2 Co1 H1 Pb1'
_cell_length_a 6.230
_cell_length_b 6.230
_cell_length_c 3.541
_cell_angle_alpha 90.00
_cell_angle_beta 90.00
_cell_angle_gamma 90.00
_space_group_name_H-M_alt 'P 4/m m m'
_space_group_IT_number 123
_space_group_name_Hall '-P 4 2'
loop_
_atom_site_label
_atom_site_type_symbol
_atom_site_fract_x
_atom_site_fract_y
_atom_site_fract_z
_atom_site_occupancy
Ba1 Ba 0.000 0.500 0.000 1
Co1 Co 0.000 0.000 0.000 1
H1 H 0.000 0.000 0.500 1
Pb1 Pb 0.500 0.500 0.500 1
# Electronic total energy   -3.45 eV/atom
# Volume   137 Å³ per cell


(8)
# RbBa2CoH PBE-GGA optimized geometry
data_RbBa2CoH
_chemical_formula_sum 'Rb1 Ba2 Co1 H1'
_cell_length_a 6.615
_cell_length_b 6.615
_cell_length_c 4.547
_cell_angle_alpha 90.00
_cell_angle_beta 90.00
_cell_angle_gamma 90.00
_space_group_name_H-M_alt 'P 4/m m m'
_space_group_IT_number 123
_space_group_name_Hall '-P 4 2'
loop_
_atom_site_label
_atom_site_type_symbol
_atom_site_fract_x
_atom_site_fract_y
_atom_site_fract_z
_atom_site_occupancy
Rb1 Rb 0.000 0.000 0.000 1
Ba1 Ba 0.000 0.500 0.000 1
Co1 Co 0.000 0.000 0.500 1
H1 H 0.500 0.500 0.500 1
# Electronic total energy   -1.71 eV/atom
# Volume   199 Å³ per cell


(9)
# Rb2BaCoH6 PBE-GGA optimized geometry
data_Rb2BaCoH6
_chemical_formula_sum 'Rb2 Ba1 Co1 H6'
_cell_length_a 6.0604
_cell_length_b 6.0604
_cell_length_c 6.5363
_cell_angle_alpha 90.00
_cell_angle_beta 90.00
_cell_angle_gamma 120.00
_space_group_name_H-M_alt 'P -3 m 1'
_space_group_IT_number 164
_space_group_name_Hall '-P 3 2"'
loop_
_atom_site_label
_atom_site_type_symbol
_atom_site_fract_x
_atom_site_fract_y
_atom_site_fract_z
_atom_site_occupancy
Rb1 Rb 0.3333 0.6667 0.1121 1
Ba1 Ba 0.0000 0.0000 0.5000 1
Co1 Co 0.0000 0.0000 0.0000 1
H1 H 0.1209 0.2418 0.8591 1
# Electronic total energy   -3.34 eV/atom
# Volume   208 Å³ per cell


(10)
# Ba2CoSb2H4 PBE-GGA optimized geometry
data_Ba2CoSb2H4
_chemical_formula_sum 'Ba4 Co2 Sb4 H8'
_cell_length_a 6.724
_cell_length_b 6.724
_cell_length_c 8.020
_cell_angle_alpha 90.00
_cell_angle_beta 90.00
_cell_angle_gamma 90.00
_space_group_name_H-M_alt 'I 4/m m m'
_space_group_IT_number 139
_space_group_name_Hall '-I 4 2'
loop_
_atom_site_label
_atom_site_type_symbol
_atom_site_fract_x
_atom_site_fract_y
_atom_site_fract_z
_atom_site_occupancy
Ba1 Ba 0.000 0.500 0.250 1
Co1 Co 0.000 0.000 0.000 1
Sb1 Sb 0.000 0.000 0.324 1
H1 H 0.166 0.166 0.000 1
# Electronic total energy   -3.84 eV/atom
# Volume   363 Å³ per cell


(11)
# BaCoSb2H PBE-GGA optimized geometry
data_BaCoSb2H
_chemical_formula_sum 'Ba1 Co1 Sb2 H1'
_cell_length_a 6.448
_cell_length_b 6.448
_cell_length_c 5.664
_cell_angle_alpha 90.00
_cell_angle_beta 90.00
_cell_angle_gamma 90.00
_space_group_name_H-M_alt 'P 4/m m m'
_space_group_IT_number 123
_space_group_name_Hall '-P 4 2'
loop_
_atom_site_label
_atom_site_type_symbol
_atom_site_fract_x
_atom_site_fract_y
_atom_site_fract_z
_atom_site_occupancy
Ba1 Ba 0.000 0.000 0.000 1
Co1 Co 0.000 0.000 0.500 1
Sb1 Sb 0.000 0.500 0.000 1
H1 H 0.500 0.500 0.500 1
# Electronic total energy   -2.35 eV/atom
# Volume   236 Å³ per cell


(12)
# BaScCo2H PBE-GGA optimized geometry
data_BaScCo2H
_chemical_formula_sum 'Ba1 Sc1 Co2 H1'
_cell_length_a 5.111
_cell_length_b 5.111
_cell_length_c 3.855
_cell_angle_alpha 90.00
_cell_angle_beta 90.00
_cell_angle_gamma 90.00
_space_group_name_H-M_alt 'P 4/m m m'
_space_group_IT_number 123
_space_group_name_Hall '-P 4 2'
loop_
_atom_site_label
_atom_site_type_symbol
_atom_site_fract_x
_atom_site_fract_y
_atom_site_fract_z
_atom_site_occupancy
Ba1 Ba 0.000 0.000 0.000 1
Sc1 Sc 0.500 0.500 0.500 1
Co1 Co 0.000 0.500 0.000 1
H1 H 0.000 0.000 0.500 1
# Electronic total energy   -3.85 eV/atom
# Volume   101 Å³ per cell


Number 1: DOS(E_F) 0.114 states/eV per atom. Number 2: DOS(E_F) 0.425 states/eV per atom. Number 3: DOS(E_F) 0.000 states/eV per atom. Number 4: DOS(E_F) 0.170 states/eV per atom. Number 5: DOS(E_F) 0.299 states/eV per atom. Number 6: DOS(E_F) 0.527 states/eV per atom. Number 7: DOS(E_F) 1.468 states/eV per atom. Number 8: DOS(E_F) 1.246 states/eV per atom. Number 9: DOS(E_F) 0.218 states/eV per atom. Number 10: DOS(E_F) 0.786 states/eV per atom. Number 11: DOS(E_F) 1.246 states/eV per atom. Number 12: DOS(E_F) 0.964 states/eV per atom.